a.
Computed, not measured: a relaxed structure of Co2OsBr at the PBE level of DFT.

Structure (POSCAR):
```
Co2OsBr
1.0
-2.8967 2.8967 4.4130
2.8967 -2.8967 4.4130
2.8967 2.8967 -4.4130
Co Os Br
4 2 2
Cartesian
4.3450 1.3217 -1.1033
1.3217 1.4483 1.1033
-1.4483 1.5749 3.3098
1.5749 1.4483 5.5163
0.0000 0.0000 0.0000
0.0000 2.8967 2.2065
2.8967 0.0000 2.2065
0.0000 0.0000 4.4130
```

Results
Calculated volume (Å³/atom): 18.5

***

b.
Computed, not measured: a relaxed structure of Co2OsBr at the PBE level of DFT.

Structure (POSCAR):
```
Co2OsBr
1.0
-1.4334 1.8800 6.1855
1.4334 -1.8800 6.1855
1.4334 1.8800 -6.1855
Co Os Br
2 1 1
Cartesian
0.0000 0.0000 0.0000
0.0000 1.8800 1.3409
1.4334 0.0000 2.1415
0.0000 0.0000 4.3519
```

Results
Calculated volume (Å³/atom): 16.7

***

The most stable of them is b.

***

a.
Computed, not measured: a relaxed structure of CoOs2Br at the PBE level of DFT.

Structure (POSCAR):
```
CoOs2Br
1.0
1.4140 0.8164 8.7200
-1.4140 0.8164 8.7200
0.0000 -1.6327 8.7200
Co Os Br
1 2 1
Cartesian
0.0000 0.0000 0.0000
0.0000 0.0000 6.6536
0.0000 0.0000 13.3192
0.0000 0.0000 19.3956
```

Results
Calculated volume (Å³/atom): 15.1

***

b.
Computed, not measured: a relaxed structure of CoOs2Br at the PBE level of DFT.

Structure (POSCAR):
```
CoOs2Br
1.0
2.8740 0.0000 0.0000
0.0000 2.8740 0.0000
0.0000 0.0000 7.3588
Co Os Br
1 2 1
Cartesian
0.0000 0.0000 0.0000
0.0000 0.0000 3.4257
1.4370 1.4370 1.7918
1.4370 1.4370 5.5958
```

Results
Calculated volume (Å³/atom): 15.2

***

c.
Computed, not measured: a relaxed structure of CoOs2Br at the PBE level of DFT.

Structure (POSCAR):
```
CoOs2Br
1.0
1.3977 -2.3822 0.0000
1.3977 2.3822 0.0000
0.0000 0.0000 9.8508
Co Os Br
1 2 1
Cartesian
0.0000 0.0000 0.0000
0.0000 0.0000 4.3045
1.3977 0.0000 2.0976
1.3977 0.0000 7.6803
```

Results
Calculated volume (Å³/atom): 16.4

***

The most stable of them is a.

***

a.
Computed, not measured: a relaxed structure of CoOs2Br at the PBE level of DFT.

Structure (POSCAR):
```
CoOs2Br
1.0
2.7898 0.0000 0.0000
0.0000 4.6212 0.0000
0.0000 0.0000 4.6705
Co Os Br
1 2 1
Cartesian
0.0000 0.0000 0.0000
0.0000 2.3106 2.3352
1.3949 2.3106 0.0000
1.3949 0.0000 2.3352
```

Results
Calculated volume (Å³/atom): 15.1

***

b.
Computed, not measured: a relaxed structure of CoOs2Br at the PBE level of DFT.

Structure (POSCAR):
```
CoOs2Br
1.0
-1.4252 2.2733 4.5399
1.4252 -2.2733 4.5399
1.4252 2.2733 -4.5399
Co Os Br
1 2 1
Cartesian
0.0000 0.0000 0.0000
1.4252 0.0000 2.3860
0.0000 0.0000 4.6317
0.0000 2.2733 2.3064
```

Results
Calculated volume (Å³/atom): 14.7

***

The most stable of them is b.

***

a.
Computed, not measured: a relaxed structure of CoOs2Br at the PBE level of DFT.

Structure (POSCAR):
```
CoOs2Br
1.0
0.0000 3.1073 3.1073
3.1073 0.0000 3.1073
3.1073 3.1073 0.0000
Co Os Br
1 2 1
Cartesian
0.0000 0.0000 0.0000
3.1073 3.1073 3.1073
4.6610 4.6610 4.6610
1.5537 1.5537 1.5537
```

Results
Calculated volume (Å³/atom): 15.0

***

b.
Computed, not measured: a relaxed structure of CoOs2Br at the PBE level of DFT.

Structure (POSCAR):
```
CoOs2Br
1.0
1.3732 -2.2646 0.0000
1.3732 2.2646 0.0000
0.0000 0.0000 12.4966
Co Os Br
1 2 1
Cartesian
0.0000 0.0000 0.0000
1.3732 0.0000 2.1057
1.3732 0.0000 10.3909
0.0000 0.0000 6.2483
```

Results
Calculated volume (Å³/atom): 19.4

***

The most stable of them is b.

***

a.
Computed, not measured: a relaxed structure of CoOs2Br at the PBE level of DFT.

Structure (POSCAR):
```
CoOs2Br
1.0
4.2212 -1.4336 0.0000
4.2212 1.4336 0.0000
-0.9489 0.0000 4.9306
Co Os Br
1 2 1
Cartesian
0.0000 0.0000 0.0000
1.4374 0.0000 3.8753
6.0560 0.0000 1.0553
3.7467 0.0000 2.4653
```

Results
Calculated volume (Å³/atom): 14.9

***

b.
Computed, not measured: a relaxed structure of CoOs2Br at the PBE level of DFT.

Structure (POSCAR):
```
CoOs2Br
1.0
2.9085 -3.4895 0.0000
2.9085 3.4895 0.0000
0.0000 0.0000 2.8355
Co Os Br
1 2 1
Cartesian
0.0000 0.0000 0.0000
1.4543 1.7448 1.4178
1.4543 -1.7448 1.4178
2.9085 0.0000 0.0000
```

Results
Calculated volume (Å³/atom): 14.4

***

The most stable of them is a.

***

a.
Computed, not measured: a relaxed structure of CoOs2Br at the PBE level of DFT.

Structure (POSCAR):
```
CoOs2Br
1.0
4.4277 0.0000 0.0000
0.0000 4.4277 0.0000
0.0000 0.0000 2.9277
Co Os Br
1 2 1
Cartesian
0.0000 0.0000 0.0000
0.0000 2.2138 1.4638
2.2138 0.0000 1.4638
2.2138 2.2138 0.0000
```

Results
Calculated volume (Å³/atom): 14.3

***

b.
Computed, not measured: a relaxed structure of CoOs2Br at the PBE level of DFT.

Structure (POSCAR):
```
CoOs2Br
1.0
-1.8539 1.8539 9.4356
1.8539 -1.8539 9.4356
1.8539 1.8539 -9.4356
Co Os Br
2 4 2
Cartesian
0.0000 0.0000 0.0000
0.0000 1.8539 4.7178
2.7808 0.7554 -2.3589
0.7554 0.9269 2.3589
-0.9269 1.0984 7.0767
1.0984 0.9269 11.7945
1.8539 0.0000 4.7178
0.0000 0.0000 9.4356
```

Results
Calculated volume (Å³/atom): 16.2

***

The most stable of them is b.

***

a.
Computed, not measured: a relaxed structure of CoOs2Br at the PBE level of DFT.

Structure (POSCAR):
```
CoOs2Br
1.0
2.8155 0.0000 0.0000
0.0000 3.5245 0.0000
0.0000 0.0000 6.8120
Co Os Br
1 2 1
Cartesian
0.0000 0.0000 0.0000
0.0000 0.0000 4.2607
1.4077 1.7622 5.4779
0.0000 1.7622 2.0158
```

Results
Calculated volume (Å³/atom): 16.9

***

b.
Computed, not measured: a relaxed structure of CoOs2Br at the PBE level of DFT.

Structure (POSCAR):
```
CoOs2Br
1.0
1.3428 0.7753 12.3231
-1.3428 0.7753 12.3231
0.0000 -1.5506 12.3231
Co Os Br
1 2 1
Cartesian
0.0000 0.0000 0.0000
0.0000 0.0000 10.3101
0.0000 0.0000 26.6591
0.0000 0.0000 18.4846
```

Results
Calculated volume (Å³/atom): 19.2

***

The most stable of them is a.

***

a.
Computed, not measured: a relaxed structure of CoOs2Br at the PBE level of DFT.

Structure (POSCAR):
```
CoOs2Br
1.0
3.0176 0.0000 0.0000
0.0000 3.0176 0.0000
0.0000 0.0000 6.7096
Co Os Br
1 2 1
Cartesian
0.0000 0.0000 0.0000
1.5088 1.5088 1.2947
1.5088 1.5088 5.4149
0.0000 0.0000 3.3548
```

Results
Calculated volume (Å³/atom): 15.3

***

b.
Computed, not measured: a relaxed structure of CoOs2Br at the PBE level of DFT.

Structure (POSCAR):
```
CoOs2Br
1.0
-2.0449 2.0449 3.5214
2.0449 -2.0449 3.5214
2.0449 2.0449 -3.5214
Co Os Br
1 2 1
Cartesian
0.0000 0.0000 0.0000
2.0449 0.0000 1.7607
0.0000 0.0000 3.5214
0.0000 2.0449 1.7607
```

Results
Calculated volume (Å³/atom): 14.7

***

The most stable of them is a.

***

a.
Computed, not measured: a relaxed structure of CoOsBr2 at the PBE level of DFT.

Structure (POSCAR):
```
CoOsBr2
1.0
1.8844 -2.7536 0.0000
1.8844 2.7536 0.0000
0.0000 0.0000 8.4806
Co Os Br
1 1 2
Cartesian
0.0000 0.0000 0.0000
1.8844 0.0000 1.2924
0.0000 0.0000 3.1788
1.8844 0.0000 6.8797
```

Results
Calculated volume (Å³/atom): 22.0

***

b.
Computed, not measured: a relaxed structure of CoOsBr2 at the PBE level of DFT.

Structure (POSCAR):
```
CoOsBr2
1.0
3.1261 -4.0534 0.0000
3.1261 4.0534 0.0000
-0.0089 0.0000 3.0056
Co Os Br
1 1 2
Cartesian
0.0000 0.0000 0.0000
3.1261 0.0000 0.0000
1.5631 2.0267 0.0000
1.5631 -2.0267 0.0000
```

Results
Calculated volume (Å³/atom): 19.0

***

The most stable of them is a.

***

a.
Computed, not measured: a relaxed structure of CoOsBr2 at the PBE level of DFT.

Structure (POSCAR):
```
CoOsBr2
1.0
1.5048 -2.8542 0.0000
1.5048 2.8542 0.0000
0.0000 0.0000 8.3189
Co Os Br
1 1 2
Cartesian
0.0000 0.0000 0.0000
0.0000 0.0000 4.1594
1.5048 0.0000 2.0044
1.5048 0.0000 6.3145
```

Results
Calculated volume (Å³/atom): 17.9

***

b.
Computed, not measured: a relaxed structure of CoOsBr2 at the PBE level of DFT.

Structure (POSCAR):
```
CoOsBr2
1.0
-1.5190 2.9321 4.1744
1.5190 -2.9321 4.1744
1.5190 2.9321 -4.1744
Co Os Br
1 1 2
Cartesian
0.0000 0.0000 0.0000
0.0000 0.0000 4.1744
1.5190 0.0000 2.1155
0.0000 2.9321 2.0589
```

Results
Calculated volume (Å³/atom): 18.6

***

c.
Computed, not measured: a relaxed structure of CoOsBr2 at the PBE level of DFT.

Structure (POSCAR):
```
CoOsBr2
1.0
3.1978 0.0000 0.0000
0.0000 3.4086 0.0000
-1.1240 0.0000 7.8925
Co Os Br
1 1 2
Cartesian
0.0000 0.0000 0.0000
1.6199 1.7043 1.0315
0.1490 1.7043 6.4030
1.6745 0.0000 2.8865
```

Results
Calculated volume (Å³/atom): 21.5

***

The most stable of them is c.

***

a.
Computed, not measured: a relaxed structure of CoOsBr2 at the PBE level of DFT.

Structure (POSCAR):
```
CoOsBr2
1.0
-2.8162 2.8162 5.4226
2.8162 -2.8162 5.4226
2.8162 2.8162 -5.4226
Co Os Br
2 2 4
Cartesian
0.0000 0.0000 0.0000
0.0000 2.8162 2.7113
2.8162 0.0000 2.7113
0.0000 0.0000 5.4226
4.2243 1.3341 -1.3556
1.3341 1.4081 1.3556
-1.4081 1.4821 4.0669
1.4821 1.4081 6.7782
```

Results
Calculated volume (Å³/atom): 21.5

***

b.
Computed, not measured: a relaxed structure of CoOsBr2 at the PBE level of DFT.

Structure (POSCAR):
```
CoOsBr2
1.0
0.0000 3.3094 3.3094
3.3094 0.0000 3.3094
3.3094 3.3094 0.0000
Co Os Br
1 1 2
Cartesian
0.0000 0.0000 0.0000
1.6547 1.6547 1.6547
3.3094 3.3094 3.3094
4.9641 4.9641 4.9641
```

Results
Calculated volume (Å³/atom): 18.1

***

The most stable of them is a.

***

a.
Computed, not measured: a relaxed structure of CoOsBr2 at the PBE level of DFT.

Structure (POSCAR):
```
CoOsBr2
1.0
4.8684 0.0000 0.0000
0.0000 3.7558 0.0000
-0.4520 0.0000 5.3427
Co Os Br
1 1 2
Cartesian
0.0000 0.0000 0.0000
2.4342 0.0000 0.0000
1.0132 1.8779 3.9973
3.4032 1.8779 1.3454
```

Results
Calculated volume (Å³/atom): 24.4

***

b.
Computed, not measured: a relaxed structure of CoOsBr2 at the PBE level of DFT.

Structure (POSCAR):
```
CoOsBr2
1.0
3.1783 -1.8680 0.0000
3.1783 1.8680 0.0000
-0.6281 0.0000 7.7796
Co Os Br
1 1 2
Cartesian
0.0000 0.0000 0.0000
3.5452 0.0000 6.8269
1.3530 0.0000 5.2168
3.2613 0.0000 1.5760
```

Results
Calculated volume (Å³/atom): 23.1

***

c.
Computed, not measured: a relaxed structure of CoOsBr2 at the PBE level of DFT.

Structure (POSCAR):
```
CoOsBr2
1.0
4.5713 0.0000 0.0000
0.0000 4.5713 0.0000
0.0000 0.0000 3.1622
Co Os Br
1 1 2
Cartesian
0.0000 0.0000 0.0000
2.2857 2.2857 0.0000
0.0000 2.2857 1.5811
2.2857 0.0000 1.5811
```

Results
Calculated volume (Å³/atom): 16.5

***

d.
Computed, not measured: a relaxed structure of CoOsBr2 at the PBE level of DFT.

Structure (POSCAR):
```
CoOsBr2
1.0
1.5751 0.9094 7.7884
-1.5751 0.9094 7.7884
0.0000 -1.8188 7.7884
Co Os Br
1 1 2
Cartesian
0.0000 0.0000 0.0000
0.0000 0.0000 11.6826
0.0000 0.0000 6.0104
0.0000 0.0000 17.3548
```

Results
Calculated volume (Å³/atom): 16.7

***

The most stable of them is b.